1.
# Si2TePb

A relaxed Si2TePb crystal (PBE, Alexandria).

Lattice parameters (Å, degrees): 5.794 5.794 6.778 53.96 53.96 37.04
Fractional positions:
Si 0.981 0.981 0.149
Si 0.519 0.519 0.351
Pb 0.750 0.750 0.750
Te 0.250 0.250 0.250

For the polymorph energy (0 for the lowest one), the calculation gives 169 meV per atom. The calculation puts the formation energy (no corrections) at 0.375 eV per atom. For the volume, the calculation gives 26.87 Å³/atom. The calculation puts the electronic total energy at -4.05 eV/atom. The value obtained for the total magnetization is 0.000 μB/atom.

2.
# SiTe3Pb

A relaxed SiTe3Pb crystal (PBE, Alexandria).

Lattice parameters (Å, degrees): 5.811 5.811 5.811 90.00 90.00 90.00
Fractional positions:
Si 0.500 0.500 0.500
Pb 0.000 0.000 0.000
Te 0.500 0.000 0.000
Te 0.000 0.000 0.500
Te 0.000 0.500 0.000

The calculation puts the formation energy (no corrections) at 0.985 eV per atom. For the volume, the calculation gives 39.24 Å³/atom. The calculation puts the electronic total energy at -2.73 eV/atom. The value obtained for the total magnetization is 0.000 μB/atom.

3.
# SiTe2Pb

A relaxed SiTe2Pb crystal (PBE, Alexandria).

Lattice parameters (Å, degrees): 5.381 5.381 5.381 60.00 60.00 60.00
Fractional positions:
Pb 0.500 0.500 0.500
Si 0.000 0.000 0.000
Te 0.250 0.250 0.250
Te 0.750 0.750 0.750

For the polymorph energy (0 for the lowest one), the calculation gives 346 meV per atom. The calculation puts the formation energy (no corrections) at 0.291 eV per atom. For the volume, the calculation gives 27.54 Å³/atom. The calculation puts the electronic total energy at -3.56 eV/atom. The value obtained for the total magnetization is 0.000 μB/atom.

4.
# SiTe2Pb

A relaxed SiTe2Pb crystal (PBE, Alexandria).

Lattice parameters (Å, degrees): 3.539 3.539 9.050 90.00 90.00 90.00
Fractional positions:
Si 0.500 0.500 0.773
Te 0.000 0.000 0.916
Te 0.500 0.500 0.276
Pb 0.000 0.000 0.535

For the polymorph energy (0 for the lowest one), the calculation gives 250 meV per atom. The calculation puts the formation energy (no corrections) at 0.195 eV per atom. For the volume, the calculation gives 28.33 Å³/atom. The calculation puts the electronic total energy at -3.66 eV/atom. The value obtained for the total magnetization is 0.000 μB/atom.

5.
# SiTe2Pb

A relaxed SiTe2Pb crystal (PBE, Alexandria).

Lattice parameters (Å, degrees): 6.583 6.583 8.771 67.96 67.96 90.00
Fractional positions:
Si 0.250 0.750 0.500
Si 0.500 0.500 0.000
Te 0.875 0.817 0.750
Te 0.183 0.625 0.250
Te 0.375 0.433 0.750
Te 0.567 0.125 0.250
Pb 0.000 0.000 0.000
Pb 0.750 0.250 0.500

For the polymorph energy (0 for the lowest one), the calculation gives 210 meV per atom. The calculation puts the formation energy (no corrections) at 0.155 eV per atom. For the volume, the calculation gives 40.27 Å³/atom. The calculation puts the electronic total energy at -3.70 eV/atom. The value obtained for the total magnetization is 0.000 μB/atom.

6.
# Si2TePb

A relaxed Si2TePb crystal (PBE, Alexandria).

Lattice parameters (Å, degrees): 5.104 5.104 5.104 60.00 60.00 60.00
Fractional positions:
Si 0.000 0.000 0.000
Si 0.750 0.750 0.750
Pb 0.500 0.500 0.500
Te 0.250 0.250 0.250

For the polymorph energy (0 for the lowest one), the calculation gives 455 meV per atom. The calculation puts the formation energy (no corrections) at 0.662 eV per atom. For the volume, the calculation gives 23.51 Å³/atom. The calculation puts the electronic total energy at -3.76 eV/atom. The value obtained for the total magnetization is 0.000 μB/atom.

7.
# SiTe2Pb

A relaxed SiTe2Pb crystal (PBE, Alexandria).

Lattice parameters (Å, degrees): 6.424 6.424 6.424 145.67 128.87 63.05
Fractional positions:
Te 0.572 0.572 0.000
Te 0.928 0.928 0.000
Pb 0.250 0.750 0.500
Si 0.750 0.250 0.500

For the polymorph energy (0 for the lowest one), the calculation gives 192 meV per atom. The calculation puts the formation energy (no corrections) at 0.137 eV per atom. For the volume, the calculation gives 28.79 Å³/atom. The calculation puts the electronic total energy at -3.72 eV/atom. The value obtained for the total magnetization is 0.000 μB/atom.

8.
# Si2TePb

A relaxed Si2TePb crystal (PBE, Alexandria).

Lattice parameters (Å, degrees): 3.870 3.930 6.492 90.00 90.00 90.00
Fractional positions:
Pb 0.500 0.500 0.750
Si 0.000 0.000 0.439
Si 0.000 0.000 0.061
Te 0.500 0.500 0.250

For the polymorph energy (0 for the lowest one), the calculation gives 282 meV per atom. The calculation puts the formation energy (no corrections) at 0.488 eV per atom. For the volume, the calculation gives 24.68 Å³/atom. The calculation puts the electronic total energy at -3.94 eV/atom. The value obtained for the total magnetization is 0.000 μB/atom.

9.
# Si2TePb

A relaxed Si2TePb crystal (PBE, Alexandria).

Lattice parameters (Å, degrees): 5.995 5.995 8.266 68.74 68.74 90.00
Fractional positions:
Te 0.500 0.500 0.000
Te 0.250 0.750 0.500
Pb 0.750 0.250 0.500
Pb 0.000 0.000 0.000
Si 0.129 0.625 0.250
Si 0.375 0.379 0.750
Si 0.875 0.871 0.750
Si 0.621 0.125 0.250

For the polymorph energy (0 for the lowest one), the calculation gives 381 meV per atom. The calculation puts the formation energy (no corrections) at 0.588 eV per atom. For the volume, the calculation gives 31.88 Å³/atom. The calculation puts the electronic total energy at -3.84 eV/atom. The value obtained for the total magnetization is 0.000 μB/atom.

10.
# Si2TePb

A relaxed Si2TePb crystal (PBE, Alexandria).

Lattice parameters (Å, degrees): 4.140 3.787 6.609 90.00 90.00 90.00
Fractional positions:
Si 0.500 0.500 0.277
Si 0.000 0.000 0.995
Te 0.000 0.000 0.392
Pb 0.500 0.500 0.836

For the polymorph energy (0 for the lowest one), the calculation gives 207 meV per atom. The calculation puts the formation energy (no corrections) at 0.413 eV per atom. For the volume, the calculation gives 25.91 Å³/atom. The calculation puts the electronic total energy at -4.01 eV/atom. The value obtained for the total magnetization is 0.000 μB/atom.

11.
# SiTe2Pb

A relaxed SiTe2Pb crystal (PBE, Alexandria).

Lattice parameters (Å, degrees): 5.332 5.332 5.332 60.00 60.00 60.00
Fractional positions:
Si 0.250 0.250 0.250
Pb 0.500 0.500 0.500
Te 0.000 0.000 0.000
Te 0.750 0.750 0.750

For the polymorph energy (0 for the lowest one), the calculation gives 487 meV per atom. The calculation puts the formation energy (no corrections) at 0.432 eV per atom. For the volume, the calculation gives 26.79 Å³/atom. The calculation puts the electronic total energy at -3.42 eV/atom. The value obtained for the total magnetization is 0.000 μB/atom.

12.
# Si2TePb

A relaxed Si2TePb crystal (PBE, Alexandria).

Lattice parameters (Å, degrees): 3.417 3.417 7.870 90.00 90.00 90.00
Fractional positions:
Pb 0.500 0.500 0.783
Si 0.500 0.500 0.180
Si 0.000 0.000 0.081
Te 0.000 0.000 0.456

For the polymorph energy (0 for the lowest one), the calculation gives 178 meV per atom. The calculation puts the formation energy (no corrections) at 0.384 eV per atom. For the volume, the calculation gives 22.97 Å³/atom. The calculation puts the electronic total energy at -4.04 eV/atom. The value obtained for the total magnetization is 0.000 μB/atom.

13.
# Si2TePb

A relaxed Si2TePb crystal (PBE, Alexandria).

Lattice parameters (Å, degrees): 6.270 6.270 6.270 141.08 141.08 56.22
Fractional positions:
Pb 0.750 0.250 0.500
Si 0.250 0.750 0.500
Si 0.000 0.000 0.000
Te 0.500 0.500 0.000

For the polymorph energy (0 for the lowest one), the calculation gives 386 meV per atom. The calculation puts the formation energy (no corrections) at 0.592 eV per atom. For the volume, the calculation gives 24.13 Å³/atom. The calculation puts the electronic total energy at -3.83 eV/atom. The value obtained for the total magnetization is 0.000 μB/atom.

14.
# Th4SiTe2Pb

A relaxed Th4SiTe2Pb crystal (PBE, Alexandria).

Lattice parameters (Å, degrees): 4.422 7.806 7.737 109.15 90.00 90.00
Fractional positions:
Te 0.000 0.500 0.500
Te 0.500 0.000 0.500
Th 0.000 0.719 0.218
Th 0.000 0.281 0.782
Th 0.500 0.732 0.769
Th 0.500 0.268 0.231
Pb 0.000 0.000 0.000
Si 0.500 0.500 0.000

The calculation puts the formation energy (no corrections) at -0.806 eV per atom. For the volume, the calculation gives 31.53 Å³/atom. The calculation puts the electronic total energy at -6.44 eV/atom. The value obtained for the total magnetization is 0.000 μB/atom.

15.
# TiSi2TePb

A relaxed TiSi2TePb crystal (PBE, Alexandria).

Lattice parameters (Å, degrees): 5.292 5.061 5.292 90.00 90.00 90.00
Fractional positions:
Si 0.500 0.000 0.000
Si 0.000 0.000 0.500
Ti 0.000 0.500 0.000
Pb 0.500 0.500 0.500
Te 0.000 0.000 0.000

The calculation puts the formation energy (no corrections) at 1.042 eV per atom. For the volume, the calculation gives 28.35 Å³/atom. The calculation puts the electronic total energy at -4.08 eV/atom. The value obtained for the total magnetization is 0.000 μB/atom.

16.
# Tl2SiTe4Pb

A relaxed Tl2SiTe4Pb crystal (PBE, Alexandria).

Lattice parameters (Å, degrees): 9.028 9.028 9.591 122.08 122.08 90.49
Fractional positions:
Te 0.751 0.749 0.954
Te 0.751 0.749 0.546
Te 0.249 0.251 0.454
Te 0.271 0.728 0.499
Te 0.772 0.229 0.001
Te 0.228 0.771 0.999
Te 0.249 0.251 0.046
Te 0.729 0.272 0.501
Tl 0.000 0.000 0.500
Tl 0.500 0.500 0.000
Tl 0.500 0.000 0.500
Tl 0.500 0.000 0.000
Si 0.500 0.500 0.500
Si 0.000 0.000 0.000
Pb 0.000 0.500 0.500
Pb 0.000 0.500 0.000

The calculation puts the formation energy (no corrections) at -0.113 eV per atom. For the volume, the calculation gives 32.07 Å³/atom. The calculation puts the electronic total energy at -3.42 eV/atom. The value obtained for the total magnetization is 0.000 μB/atom.

17.
# Tm8Si3Te4Pb

A relaxed Tm8Si3Te4Pb crystal (PBE, Alexandria).

Lattice parameters (Å, degrees): 8.450 8.564 8.450 119.56 120.00 90.00
Fractional positions:
Tm 0.247 0.723 0.494
Tm 0.753 0.277 0.024
Tm 0.271 0.277 0.024
Tm 0.262 0.285 0.523
Tm 0.247 0.723 0.976
Tm 0.729 0.723 0.976
Tm 0.738 0.715 0.477
Tm 0.753 0.277 0.506
Si 0.500 0.500 0.500
Si 0.500 0.500 0.000
Si 0.000 0.500 0.500
Te 0.500 0.000 0.000
Te 0.000 0.000 0.500
Te 0.500 0.000 0.500
Te 0.000 0.000 0.000
Pb 0.000 0.500 0.000

The calculation puts the formation energy (no corrections) at -0.988 eV per atom. For the volume, the calculation gives 27.20 Å³/atom. The calculation puts the electronic total energy at -5.26 eV/atom. The value obtained for the total magnetization is 0.000 μB/atom.

18.
# Th5Si2Pb

A relaxed Th5Si2Pb crystal (PBE, Alexandria).

Lattice parameters (Å, degrees): 7.890 7.890 9.153 115.53 115.53 90.00
Fractional positions:
Th 0.199 0.027 0.726
Th 0.527 0.699 0.726
Th 0.000 0.000 0.000
Th 0.473 0.301 0.274
Th 0.301 0.801 0.274
Th 0.500 0.500 0.000
Th 0.973 0.473 0.274
Th 0.801 0.973 0.274
Th 0.027 0.527 0.726
Th 0.699 0.199 0.726
Si 0.629 0.129 0.000
Si 0.371 0.871 0.000
Si 0.871 0.629 0.000
Si 0.129 0.371 0.000
Pb 0.750 0.750 0.500
Pb 0.250 0.250 0.500

The calculation puts the formation energy (no corrections) at -0.478 eV per atom. For the volume, the calculation gives 28.24 Å³/atom. The calculation puts the electronic total energy at -6.93 eV/atom. The value obtained for the total magnetization is 0.000 μB/atom.

19.
# Ti3SiPb

A relaxed Ti3SiPb crystal (PBE, Alexandria).

Lattice parameters (Å, degrees): 4.660 4.660 4.660 90.00 90.00 90.00
Fractional positions:
Ti 0.500 0.000 0.000
Ti 0.000 0.000 0.500
Ti 0.000 0.500 0.000
Si 0.000 0.000 0.000
Pb 0.500 0.500 0.500

For the polymorph energy (0 for the lowest one), the calculation gives 0 meV per atom. The calculation puts the formation energy (no corrections) at 0.082 eV per atom. For the volume, the calculation gives 20.24 Å³/atom. The calculation puts the electronic total energy at -6.48 eV/atom. The value obtained for the total magnetization is 0.000 μB/atom.

20.
# TiSiPb3

A relaxed TiSiPb3 crystal (PBE, Alexandria).

Lattice parameters (Å, degrees): 5.394 5.394 5.394 90.00 90.00 90.00
Fractional positions:
Pb 0.000 0.500 0.000
Pb 0.000 0.000 0.500
Pb 0.500 0.000 0.000
Ti 0.000 0.000 0.000
Si 0.500 0.500 0.500

For the polymorph energy (0 for the lowest one), the calculation gives 0 meV per atom. The calculation puts the formation energy (no corrections) at 0.711 eV per atom. For the volume, the calculation gives 31.40 Å³/atom. The calculation puts the electronic total energy at -4.18 eV/atom. The value obtained for the total magnetization is 0.000 μB/atom.